No. 1
## NdHo2ScIn4 (PBE-GGA)

Data for a relaxed NdHo2ScIn4 crystal.

a b c (Å): 9.194 9.194 9.194
angles (deg): 33.34 33.34 33.34
Fractional positions:
Nd 0.000 0.000 0.000
Ho 0.249 0.249 0.249
Ho 0.751 0.751 0.751
Sc 0.500 0.500 0.500
In 0.128 0.128 0.128
In 0.378 0.378 0.378
In 0.622 0.622 0.622
In 0.872 0.872 0.872

Values from the calculation:
Fermi-level density of states in states/eV per cell: 4.3
VASP energy in eV/f.u.: -34.69
Energy of formation in eV per formula unit: -3.5

=====

No. 2
## NdHoSc2In4 (PBE-GGA)

Data for a relaxed NdHoSc2In4 crystal.

a b c (Å): 9.064 9.064 9.064
angles (deg): 33.47 33.47 33.47
Fractional positions:
Nd 0.000 0.000 0.000
Ho 0.500 0.500 0.500
Sc 0.250 0.250 0.250
Sc 0.750 0.750 0.750
In 0.127 0.127 0.127
In 0.377 0.377 0.377
In 0.623 0.623 0.623
In 0.873 0.873 0.873

Values from the calculation:
Fermi-level density of states in states/eV per cell: 4.5
VASP energy in eV/f.u.: -36.36
Energy of formation in eV per formula unit: -3.4

=====

No. 3
## NdHo2In3Se6 (PBE-GGA)

Data for a relaxed NdHo2In3Se6 crystal.

a b c (Å): 7.247 7.247 8.107
angles (deg): 98.57 98.57 119.98
Fractional positions:
Nd 0.000 0.000 0.000
Ho 0.333 0.667 0.000
Ho 0.667 0.333 0.000
In 0.165 0.835 0.500
In 0.500 0.500 0.500
In 0.835 0.165 0.500
Se 0.070 0.413 0.211
Se 0.274 0.274 0.792
Se 0.413 0.070 0.211
Se 0.587 0.930 0.789
Se 0.726 0.726 0.208
Se 0.930 0.587 0.789

Values from the calculation:
ΔE_f (raw) in eV/atom: -1.293
VASP energy in eV/f.u.: -58.56

=====

No. 4
## Nd2SmHoIn2 (PBE-GGA)

Data for a relaxed Nd2SmHoIn2 crystal.

a b c (Å): 5.280 10.066 6.843
angles (deg): 90.00 90.00 90.00
Fractional positions:
Nd 0.000 0.041 0.000
Nd 0.000 0.959 0.500
Nd 0.500 0.180 0.278
Nd 0.500 0.820 0.778
Sm 0.500 0.461 0.925
Sm 0.500 0.539 0.425
Ho 0.000 0.320 0.649
Ho 0.000 0.680 0.149
In 0.000 0.365 0.177
In 0.000 0.635 0.677
In 0.500 0.149 0.751
In 0.500 0.851 0.251

Values from the calculation:
Fermi-level density of states in states/eV per cell: 12.5
VASP energy in eV/f.u.: -26.40
Energy of formation in eV per formula unit: -2.1

=====

How do the records compare in M_tot? In the order shown, they have 0.000; 0.000; 0.000; 0.000 μB/cell.